First-principles (GGA-PBE) data for an optimized crystal structure of KYSn, as listed in the Alexandria database.

Spin magnetization   0.00 μB per formula unit
Uncorrected energy   -4.251 eV/atom
Formation enthalpy at 0 K   -396 meV per atom

```
KYSn
1.0
5.416 0.000 0.000
0.000 5.416 0.000
0.000 0.000 8.151
K Y Sn
2 2 2
direct
0.250 0.250 0.130 K
0.750 0.750 0.870 K
0.250 0.750 0.500 Y
0.750 0.250 0.500 Y
0.250 0.250 0.686 Sn
0.750 0.750 0.314 Sn
```



First-principles (GGA-PBE) data for an optimized crystal structure of PmNpCo, as listed in the Alexandria database.

Spin magnetization   1.17 μB per formula unit
Uncorrected energy   -8.169 eV/atom
Formation enthalpy at 0 K   97 meV per atom

```
PmNpCo
1.0
3.487 0.000 0.000
-0.208 6.129 0.000
-1.013 -0.068 6.133
Pm Np Co
2 2 2
direct
0.181 0.374 0.272 Pm
0.819 0.626 0.728 Pm
0.373 0.095 0.840 Np
0.627 0.905 0.160 Np
0.226 0.859 0.436 Co
0.774 0.141 0.564 Co
```



First-principles (GGA-PBE) data for an optimized crystal structure of LiAcTePd, as listed in the Alexandria database.

Spin magnetization   0.00 μB per formula unit
E_form (uncorrected)   -57.9 kJ per mole of atoms
Uncorrected energy   -4.189 eV/atom

```
LiAcTePd
1.0
0.000 3.616 3.616
3.616 0.000 3.616
3.616 3.616 0.000
Li Ac Te Pd
1 1 1 1
direct
0.000 0.000 0.000 Li
0.750 0.750 0.750 Ac
0.250 0.250 0.250 Te
0.500 0.500 0.500 Pd
```



First-principles (GGA-PBE) data for an optimized crystal structure of Pr5Dy2Sb4, as listed in the Alexandria database.

Spin magnetization   0.00 μB per formula unit
E_form (uncorrected)   -46.8 kJ per mole of atoms
Uncorrected energy   -4.994 eV/atom

```
Pr5Dy2Sb4
1.0
12.994 -2.056 0.000
12.994 2.056 0.000
-0.005 0.000 7.347
Pr Dy Sb
5 2 4
direct
0.000 0.000 0.000 Pr
0.268 0.268 0.248 Pr
0.358 0.358 0.821 Pr
0.642 0.642 0.179 Pr
0.732 0.732 0.752 Pr
0.410 0.410 0.325 Dy
0.590 0.590 0.675 Dy
0.168 0.168 0.503 Sb
0.471 0.471 0.690 Sb
0.529 0.529 0.310 Sb
0.832 0.832 0.497 Sb
```



First-principles (GGA-PBE) data for an optimized crystal structure of Ti2InBi, as listed in the Alexandria database.

Spin magnetization   0.00 μB per formula unit
Uncorrected energy   -5.462 eV/atom
Formation enthalpy at 0 K   140 meV per atom

```
Ti2InBi
1.0
1.912 1.104 7.169
-1.912 1.104 7.169
0.000 -2.207 7.169
Ti In Bi
2 1 1
direct
0.248 0.248 0.248 Ti
0.752 0.752 0.752 Ti
0.500 0.500 0.500 In
0.000 0.000 0.000 Bi
```



First-principles (GGA-PBE) data for an optimized crystal structure of SmHo5Mg2, as listed in the Alexandria database.

Spin magnetization   0.00 μB per formula unit
Uncorrected energy   -3.816 eV/atom
Formation enthalpy at 0 K   34 meV per atom

```
SmHo5Mg2
1.0
-1.724 5.359 6.455
1.724 -5.359 6.455
1.724 5.359 -6.455
Sm Ho Mg
1 5 2
direct
0.000 0.000 0.000 Sm
0.138 0.368 0.770 Ho
0.402 0.632 0.770 Ho
0.500 0.000 0.500 Ho
0.598 0.368 0.230 Ho
0.862 0.632 0.230 Ho
0.243 0.743 0.500 Mg
0.757 0.257 0.500 Mg
```



First-principles (GGA-PBE) data for an optimized crystal structure of AlTc2Te, as listed in the Alexandria database.

Spin magnetization   0.00 μB per formula unit
E_form (uncorrected)   45.6 kJ per mole of atoms
Uncorrected energy   -6.431 eV/atom

```
AlTc2Te
1.0
1.606 -2.549 0.000
1.606 2.549 0.000
0.000 0.000 8.334
Al Tc Te
1 2 1
direct
0.000 0.000 0.000 Al
0.500 0.500 0.240 Tc
0.500 0.500 0.760 Tc
0.000 0.000 0.500 Te
```



First-principles (GGA-PBE) data for an optimized crystal structure of MgZn2PdAu4, as listed in the Alexandria database.

Spin magnetization   0.00 μB per formula unit
Uncorrected energy   -2.974 eV/atom
Formation enthalpy at 0 K   -169 meV per atom

```
MgZn2PdAu4
1.0
3.854 0.000 0.000
0.000 3.854 0.000
0.000 0.000 10.189
Mg Zn Pd Au
1 2 1 4
direct
0.000 0.000 0.000 Mg
0.500 0.500 0.385 Zn
0.500 0.500 0.615 Zn
0.000 0.000 0.500 Pd
0.000 0.500 0.202 Au
0.000 0.500 0.798 Au
0.500 0.000 0.202 Au
0.500 0.000 0.798 Au
```



First-principles (GGA-PBE) data for an optimized crystal structure of BSN2F, as listed in the Alexandria database.

Spin magnetization   0.44 μB per formula unit
E_form (uncorrected)   95.8 kJ per mole of atoms
Uncorrected energy   -4.872 eV/atom

```
BSN2F
1.0
3.071 0.000 0.000
0.000 3.071 0.000
0.000 0.000 7.104
B S N F
1 1 2 1
direct
0.000 0.000 0.000 B
0.000 0.000 0.500 S
0.000 0.500 0.000 N
0.500 0.000 0.000 N
0.500 0.500 0.500 F
```



First-principles (GGA-PBE) data for an optimized crystal structure of ScRh2IN, as listed in the Alexandria database.

Spin magnetization   0.00 μB per formula unit
E_form (uncorrected)   104.9 kJ per mole of atoms
Uncorrected energy   -5.095 eV/atom

```
ScRh2IN
1.0
4.856 0.000 0.000
0.000 4.856 0.000
0.000 0.000 4.139
Sc Rh I N
1 2 1 1
direct
0.000 0.000 0.000 Sc
0.000 0.500 0.500 Rh
0.500 0.000 0.500 Rh
0.500 0.500 0.500 I
0.500 0.500 0.000 N
```



First-principles (GGA-PBE) data for an optimized crystal structure of FeRh2Cl, as listed in the Alexandria database.

Spin magnetization   3.76 μB per formula unit
E_form (uncorrected)   39.9 kJ per mole of atoms
Uncorrected energy   -5.840 eV/atom

```
FeRh2Cl
1.0
2.883 0.000 0.000
0.000 4.370 0.000
-0.001 0.000 4.704
Fe Rh Cl
1 2 1
direct
0.000 0.000 0.000 Fe
0.252 0.500 0.245 Rh
0.748 0.500 0.755 Rh
0.500 0.000 0.500 Cl
```



First-principles (GGA-PBE) data for an optimized crystal structure of MnBeCu3, as listed in the Alexandria database.

Spin magnetization   0.15 μB per formula unit
Uncorrected energy   -4.273 eV/atom
Formation enthalpy at 0 K   764 meV per atom

```
MnBeCu3
1.0
3.933 0.000 0.000
0.000 3.933 0.000
0.000 0.000 3.933
Mn Be Cu
1 1 3
direct
0.000 0.000 0.000 Mn
0.500 0.500 0.500 Be
0.000 0.500 0.500 Cu
0.500 0.000 0.500 Cu
0.500 0.500 0.000 Cu
```



> Which value of spin magnetization does entry 1 give?

0.00 μB per formula unit